! GaSiIr3 | the Alexandria database | meta-GGA SCAN | single point on PBEsol structure; values from VASP
! Space group ... Pm-3m (221)
! Theoretical density ... 13.411 g cm⁻³
! V ... 83.5 Å³/cell
! Size of the total moment ... 0.0 Bohr magnetons per cell
! E_form (uncorrected) ... 0.72 eV per atom
! Fermi-level density of states ... 1.43 states/eV/f.u.
&SYSTEM
  ibrav = 0, nat = 5, ntyp = 3
/
ATOMIC_SPECIES
Si 28.09 Si.upf
Ir 192.22 Ir.upf
Ga 69.72 Ga.upf
CELL_PARAMETERS angstrom
4.3710 0.0000 0.0000
0.0000 4.3710 0.0000
0.0000 0.0000 4.3710
ATOMIC_POSITIONS angstrom
Si 0.0000 0.0000 0.0000
Ir 0.0000 2.1855 0.0000
Ir 0.0000 0.0000 2.1855
Ir 2.1855 0.0000 0.0000
Ga 2.1855 2.1855 2.1855

! SrGaIr | the Alexandria database | meta-GGA SCAN | single point on PBEsol structure; values from VASP
! Formation energy from the elements ... -0.634 eV/atom
! Space group ... P4/nmm (129)
! Theoretical density ... 8.366 g cm⁻³
! V ... 138.8 Å³/cell
! Size of the total moment ... 0.0 Bohr magnetons per cell
! Fermi-level density of states ... 0.52 states/eV/f.u.
&SYSTEM
  ibrav = 0, nat = 6, ntyp = 3
/
ATOMIC_SPECIES
Sr 87.62 Sr.upf
Ir 192.22 Ir.upf
Ga 69.72 Ga.upf
CELL_PARAMETERS angstrom
4.3376 0.0000 0.0000
0.0000 4.3376 0.0000
0.0000 0.0000 7.3750
ATOMIC_POSITIONS angstrom
Sr 2.1688 0.0000 5.9658
Sr 0.0000 2.1688 1.4092
Ir 0.0000 0.0000 3.6875
Ir 2.1688 2.1688 3.6875
Ga 2.1688 0.0000 2.4196
Ga 0.0000 2.1688 4.9554

! Ti6Ga16Ir7 | the Alexandria database | meta-GGA SCAN | single point on PBEsol structure; values from VASP
! Formation energy from the elements ... -0.636 eV/atom
! Space group ... Fm-3m (225)
! Theoretical density ... 10.375 g cm⁻³
! V ... 439.9 Å³/cell
! Size of the total moment ... 0.0 Bohr magnetons per cell
! Fermi-level density of states ... 15.41 states/eV/f.u.
&SYSTEM
  ibrav = 0, nat = 29, ntyp = 3
/
ATOMIC_SPECIES
Ti 47.87 Ti.upf
Ga 69.72 Ga.upf
Ir 192.22 Ir.upf
CELL_PARAMETERS angstrom
-6.5742 -5.2819 1.3243
1.3367 -8.4091 0.6102
-0.8718 -3.9251 7.5303
ATOMIC_POSITIONS angstrom
Ti -2.2223 -6.9460 5.7994
Ti -4.7292 -8.9602 6.3044
Ti -4.3968 -7.4634 3.4328
Ti -3.8870 -10.6701 3.6655
Ti -1.3800 -8.6559 3.1605
Ti -1.7125 -10.1527 6.0320
Ga -6.0421 -11.1702 7.9939
Ga -4.9161 -13.4562 4.4659
Ga -5.3606 -15.4573 8.3050
Ga -2.0089 -12.7645 7.6298
Ga -0.0672 -6.4459 1.4710
Ga -1.1931 -4.1599 4.9990
Ga -0.7487 -2.1588 1.1599
Ga -4.1003 -4.8516 1.8350
Ga -4.7676 -6.4126 5.7827
Ga -3.4467 -9.0945 1.6438
Ga -3.9681 -11.4420 6.1476
Ga -0.0361 -8.2830 5.3556
Ga -1.3417 -11.2035 3.6822
Ga -2.6626 -8.5216 7.8211
Ga -2.1412 -6.1740 3.3172
Ga -6.0731 -9.3331 4.1093
Ir 0.0000 0.0000 0.0000
Ir -2.6187 -6.8455 0.9673
Ir 0.6684 -4.2045 0.3051
Ir 0.2325 -6.1671 4.0703
Ir -0.4359 -1.9625 3.7652
Ir -3.7230 -4.6035 4.4273
Ir -3.2871 -2.6409 0.6622

! TiGaIr3 | the Alexandria database | meta-GGA SCAN | single point on PBEsol structure; values from VASP
! Formation energy from the elements ... 1.283 eV/atom
! Space group ... Pm-3m (221)
! Theoretical density ... 12.456 g cm⁻³
! V ... 92.5 Å³/cell
! Size of the total moment ... 0.0 Bohr magnetons per cell
! Fermi-level density of states ... 4.43 states/eV/f.u.
&SYSTEM
  ibrav = 0, nat = 5, ntyp = 3
/
ATOMIC_SPECIES
Ir 192.22 Ir.upf
Ga 69.72 Ga.upf
Ti 47.87 Ti.upf
CELL_PARAMETERS angstrom
-0.6095 1.8634 4.0763
-0.3837 -4.1204 1.8262
4.4656 -0.0997 0.7133
ATOMIC_POSITIONS angstrom
Ir -0.1919 -2.0602 0.9131
Ir 2.2328 -0.0499 0.3566
Ir -0.3047 0.9317 2.0382
Ga 1.7362 -1.1784 3.3079
Ti 0.0000 0.0000 0.0000

! TlGaIr3 | the Alexandria database | meta-GGA SCAN | single point on PBEsol structure; values from VASP
! Formation energy from the elements ... 1.227 eV/atom
! Space group ... Pm-3m (221)
! Theoretical density ... 15.255 g cm⁻³
! V ... 92.6 Å³/cell
! Size of the total moment ... 0.0 Bohr magnetons per cell
! Fermi-level density of states ... 3.13 states/eV/f.u.
&SYSTEM
  ibrav = 0, nat = 5, ntyp = 3
/
ATOMIC_SPECIES
Tl 204.38 Tl.upf
Ir 192.22 Ir.upf
Ga 69.72 Ga.upf
CELL_PARAMETERS angstrom
4.5242 0.0000 0.0000
0.0000 4.5242 0.0000
0.0000 0.0000 4.5242
ATOMIC_POSITIONS angstrom
Tl 2.2621 2.2621 2.2621
Ir 0.0000 2.2621 0.0000
Ir 0.0000 0.0000 2.2621
Ir 2.2621 0.0000 0.0000
Ga 0.0000 0.0000 0.0000

! UGa5Ir | the Alexandria database | meta-GGA SCAN | single point on PBEsol structure; values from VASP
! Formation energy from the elements ... -0.469 eV/atom
! Space group ... P4/mmm (123)
! Theoretical density ... 10.632 g cm⁻³
! V ... 121.6 Å³/cell
! Size of the total moment ... 0.0 Bohr magnetons per cell
! Fermi-level density of states ... 2.84 states/eV/f.u.
&SYSTEM
  ibrav = 0, nat = 7, ntyp = 3
/
ATOMIC_SPECIES
U 238.03 U.upf
Ga 69.72 Ga.upf
Ir 192.22 Ir.upf
CELL_PARAMETERS angstrom
-3.3978 1.8965 -1.7835
1.3914 -1.1555 -3.8796
-3.4129 -5.6758 0.4664
ATOMIC_POSITIONS angstrom
U 0.0000 0.0000 0.0000
Ga -1.0032 0.3705 -2.8315
Ga -4.1022 -3.0485 -0.5633
Ga -1.7076 -4.5746 -1.6113
Ga -2.7084 -0.7307 -0.7538
Ga -0.3139 -2.2567 -1.8018
Ir -1.7064 -2.8379 0.2332

! YGa2Ir2 | the Alexandria database | meta-GGA SCAN | single point on PBEsol structure; values from VASP
! Formation energy from the elements ... -0.819 eV/atom
! Space group ... I4/mmm (139)
! Theoretical density ... 11.453 g cm⁻³
! V ... 88.8 Å³/cell
! Size of the total moment ... 0.0 Bohr magnetons per cell
! Fermi-level density of states ... 3.01 states/eV/f.u.
&SYSTEM
  ibrav = 0, nat = 5, ntyp = 3
/
ATOMIC_SPECIES
Y 88.91 Y.upf
Ir 192.22 Ir.upf
Ga 69.72 Ga.upf
CELL_PARAMETERS angstrom
3.9613 0.0000 0.0000
0.0000 3.9613 0.0000
-1.9807 -1.9807 5.6619
ATOMIC_POSITIONS angstrom
Y 0.0000 0.0000 0.0000
Ir 0.0000 0.0000 4.3911
Ir 1.9807 1.9807 1.2709
Ga 0.0000 1.9807 2.8310
Ga 1.9807 0.0000 2.8310

! YZn2GaIr | the Alexandria database | meta-GGA SCAN | single point on PBEsol structure; values from VASP
! Formation energy from the elements ... 1.183 eV/atom
! Space group ... P4/mmm (123)
! Theoretical density ... 5.597 g cm⁻³
! V ... 142.9 Å³/cell
! Size of the total moment ... 0.0 Bohr magnetons per cell
! Fermi-level density of states ... 1.95 states/eV/f.u.
&SYSTEM
  ibrav = 0, nat = 5, ntyp = 4
/
ATOMIC_SPECIES
Y 88.91 Y.upf
Zn 65.41 Zn.upf
Ir 192.22 Ir.upf
Ga 69.72 Ga.upf
CELL_PARAMETERS angstrom
-1.9484 3.5028 2.8900
-4.9373 -1.4841 -1.5299
-0.2166 -3.4908 4.0851
ATOMIC_POSITIONS angstrom
Y 0.0000 0.0000 0.0000
Zn -0.1083 -1.7454 2.0426
Zn -2.4687 -0.7421 -0.7650
Ir -0.9742 1.7514 1.4450
Ga -3.5512 -0.7360 2.7226

Question: Which value of theoretical density does entry 3 give?
Answer: 10.375 g cm⁻³

Repeat the first record exactly.
! GaSiIr3 | the Alexandria database | meta-GGA SCAN | single point on PBEsol structure; values from VASP
! Space group ... Pm-3m (221)
! Theoretical density ... 13.411 g cm⁻³
! V ... 83.5 Å³/cell
! Size of the total moment ... 0.0 Bohr magnetons per cell
! E_form (uncorrected) ... 0.72 eV per atom
! Fermi-level density of states ... 1.43 states/eV/f.u.
&SYSTEM
  ibrav = 0, nat = 5, ntyp = 3
/
ATOMIC_SPECIES
Si 28.09 Si.upf
Ir 192.22 Ir.upf
Ga 69.72 Ga.upf
CELL_PARAMETERS angstrom
4.3710 0.0000 0.0000
0.0000 4.3710 0.0000
0.0000 0.0000 4.3710
ATOMIC_POSITIONS angstrom
Si 0.0000 0.0000 0.0000
Ir 0.0000 2.1855 0.0000
Ir 0.0000 0.0000 2.1855
Ir 2.1855 0.0000 0.0000
Ga 2.1855 2.1855 2.1855

Question: Which of these has the highest theoretical density?
Answer: TlGaIr3